A relaxed MnCrSnF6 crystal, computed with GGA+U. Values from VASP.

Output
calculated total energy	-103.707	eV/cell
SG	P-31c, No. 163
crystal system	trigonal
density of states at the Fermi level	5.76	states/eV/f.u.

Cell and atoms, written as Quantum ESPRESSO input:
```
&SYSTEM
  ibrav = 0, nat = 18, ntyp = 4
/
ATOMIC_SPECIES
F 19.00 F.upf
Sn 118.71 Sn.upf
Cr 52.00 Cr.upf
Mn 54.94 Mn.upf
CELL_PARAMETERS angstrom
5.632 0.000 0.000
-2.816 4.877 0.000
0.000 0.000 10.198
ATOMIC_POSITIONS angstrom
F 0.981 1.733 8.772
F 1.835 3.144 1.426
F -0.981 1.733 6.525
F 3.641 0.017 3.673
F -1.805 3.162 8.772
F 0.825 4.860 8.772
F 1.991 0.017 1.426
F -0.825 4.860 6.525
F 1.011 1.716 3.673
F 1.805 3.162 6.525
F 3.797 3.144 3.673
F 4.621 1.716 1.426
Sn 0.000 0.000 0.000
Sn 0.000 0.000 5.099
Cr 0.000 3.252 7.649
Cr 2.816 1.626 2.550
Mn 2.816 1.626 7.649
Mn 0.000 3.252 2.550
```